The following is a PBE-GGA calculation of ReAsIr2 after structural relaxation, from the Alexandria database.

Properties
Its spin magnetization is 0.000 μB per atom. The formation energy comes out at 0.18 eV/atom.

abc: 8.6051 8.6051 8.6051
angles: 19.09 19.09 19.09
Sites, in units of the cell vectors:
Re 0.4982 0.4982 0.4982
As 0.7492 0.7492 0.7492
Ir 0.0049 0.0049 0.0049
Ir 0.2477 0.2477 0.2477


The following is a PBE-GGA calculation of InH2F2 after structural relaxation, from the Alexandria database.

Properties
Its spin magnetization is 0.000 μB per atom. The energy above the most stable polymorph in this dataset comes out at 204 meV per atom.

abc: 4.1073 4.1073 4.1847
angles: 60.61 60.61 90.00
Sites, in units of the cell vectors:
H 0.4386 0.4386 0.1229
H 0.5614 0.5614 0.8771
F 0.7500 0.2500 0.5000
F 0.2500 0.7500 0.5000
In 0.0000 0.0000 0.0000


Please write out number 2 again, unchanged.
The following is a PBE-GGA calculation of InH2F2 after structural relaxation, from the Alexandria database.

Properties
Its spin magnetization is 0.000 μB per atom. The energy above the most stable polymorph in this dataset comes out at 204 meV per atom.

abc: 4.1073 4.1073 4.1847
angles: 60.61 60.61 90.00
Sites, in units of the cell vectors:
H 0.4386 0.4386 0.1229
H 0.5614 0.5614 0.8771
F 0.7500 0.2500 0.5000
F 0.2500 0.7500 0.5000
In 0.0000 0.0000 0.0000